No. 1
Compound: Dy2Fe15Co2CN
Source: Alexandria via LeMat-Bulk
Functional: PBE
Structure: optimized geometry

**Theoretical density**: 8.246 g/cm3
**Final energy**: -170.3 eV/cell
**Spin magnetization**: 35.001 μB per cell

Structure (CIF):
```
data_Dy2Fe15Co2CN
_chemical_formula_sum 'Dy2 Fe15 Co2 C1 N1'
_cell_length_a 6.4212
_cell_length_b 6.4453
_cell_length_c 6.4884
_cell_angle_alpha 83.41
_cell_angle_beta 83.11
_cell_angle_gamma 82.76
_space_group_name_H-M_alt 'P -1'
_space_group_IT_number 2
_space_group_name_Hall '-P 1'
loop_
_atom_site_label
_atom_site_type_symbol
_atom_site_fract_x
_atom_site_fract_y
_atom_site_fract_z
_atom_site_occupancy
Dy1 Dy 0.1610 0.1513 0.1587 1
Fe1 Fe 0.0000 0.5000 0.5000 1
Fe2 Fe 0.1528 0.1550 0.6436 1
Fe3 Fe 0.1549 0.6479 0.1598 1
Fe4 Fe 0.2131 0.5016 0.7849 1
Fe5 Fe 0.2127 0.7857 0.5026 1
Fe6 Fe 0.3510 0.8437 0.8407 1
Fe7 Fe 0.4975 0.2185 0.7815 1
Fe8 Fe 0.5000 0.0000 0.5000 1
Fe9 Fe 0.5000 0.5000 0.0000 1
Co1 Co 0.4048 0.4059 0.4077 1
C1 C 0.0000 0.5000 0.0000 1
N1 N 0.5000 0.0000 0.0000 1
```

***

No. 2
Compound: AcCdGaAg3
Source: Alexandria via LeMat-Bulk
Functional: PBE
Structure: optimized geometry

**Theoretical density**: 8.305 g/cm3
**Final energy**: -68.5 eV/cell
**Spin magnetization**: 0.000 μB per cell
**Formation energy**: -0.09 eV/atom

Structure (CIF):
```
data_AcCdGaAg3
_chemical_formula_sum 'Ac4 Cd4 Ga4 Ag12'
_cell_length_a 7.1299
_cell_length_b 13.2036
_cell_length_c 6.2253
_cell_angle_alpha 90.00
_cell_angle_beta 90.00
_cell_angle_gamma 90.00
_space_group_name_H-M_alt 'C m c m'
_space_group_IT_number 63
_space_group_name_Hall '-C 2c 2'
loop_
_atom_site_label
_atom_site_type_symbol
_atom_site_fract_x
_atom_site_fract_y
_atom_site_fract_z
_atom_site_occupancy
Ac1 Ac 0.0000 0.2096 0.2500 1
Cd1 Cd 0.0000 0.4530 0.2500 1
Ga1 Ga 0.0000 0.1327 0.7500 1
Ag1 Ag 0.0000 0.3337 0.7500 1
Ag2 Ag 0.1937 0.0000 0.0000 1
```

***

No. 3
Compound: NdVSb3
Source: Alexandria via LeMat-Bulk
Functional: PBE
Structure: optimized geometry

**Theoretical density**: 7.415 g/cm3
**Final energy**: -115.9 eV/cell
**Spin magnetization**: 2.259 μB per cell
**Energy above the most stable polymorph in this dataset**: 0.00 eV/f.u.

Structure (CIF):
```
data_NdVSb3
_chemical_formula_sum 'Nd4 V4 Sb12'
_cell_length_a 13.1718
_cell_length_b 6.3381
_cell_length_c 6.0135
_cell_angle_alpha 90.00
_cell_angle_beta 90.00
_cell_angle_gamma 90.00
_space_group_name_H-M_alt 'P b c m'
_space_group_IT_number 57
_space_group_name_Hall '-P 2c 2b'
loop_
_atom_site_label
_atom_site_type_symbol
_atom_site_fract_x
_atom_site_fract_y
_atom_site_fract_z
_atom_site_occupancy
Nd1 Nd 0.1896 0.0020 0.2500 1
V1 V 0.4052 0.7500 0.0000 1
Sb1 Sb 0.0012 0.7500 0.0000 1
Sb2 Sb 0.2810 0.0025 0.7500 1
Sb3 Sb 0.4347 0.1034 0.2500 1
```

***

No. 4
Compound: Li2BS
Source: Alexandria via LeMat-Bulk
Functional: PBE
Structure: optimized geometry

**Theoretical density**: 1.929 g/cm3
**Final energy**: -53.5 eV/cell
**Spin magnetization**: 0.000 μB per cell
**Energy above the most stable polymorph in this dataset**: 0.37 eV/f.u.

Structure (CIF):
```
data_Li2BS
_chemical_formula_sum 'Li8 B4 S4'
_cell_length_a 3.4980
_cell_length_b 3.4980
_cell_length_c 15.9689
_cell_angle_alpha 90.00
_cell_angle_beta 90.00
_cell_angle_gamma 90.00
_space_group_name_H-M_alt 'I -4 2 d'
_space_group_IT_number 122
_space_group_name_Hall 'I -4 2bw'
loop_
_atom_site_label
_atom_site_type_symbol
_atom_site_fract_x
_atom_site_fract_y
_atom_site_fract_z
_atom_site_occupancy
Li1 Li 0.2425 0.2500 0.1250 1
B1 B 0.0000 0.0000 0.0000 1
S1 S 0.0000 0.0000 0.5000 1
```

***

No. 5
Compound: RbY2CoAs
Source: Alexandria via LeMat-Bulk
Functional: PBE
Structure: optimized geometry

**Theoretical density**: 3.538 g/cm3
**Final energy**: -23.3 eV/cell
**Spin magnetization**: 1.588 μB per cell
**Formation energy**: 0.46 eV/atom

Structure (CIF):
```
data_RbY2CoAs
_chemical_formula_sum 'Rb1 Y2 Co1 As1'
_cell_length_a 5.4312
_cell_length_b 5.4312
_cell_length_c 6.3184
_cell_angle_alpha 90.00
_cell_angle_beta 90.00
_cell_angle_gamma 90.00
_space_group_name_H-M_alt 'P 4/m m m'
_space_group_IT_number 123
_space_group_name_Hall '-P 4 2'
loop_
_atom_site_label
_atom_site_type_symbol
_atom_site_fract_x
_atom_site_fract_y
_atom_site_fract_z
_atom_site_occupancy
Rb1 Rb 0.0000 0.0000 0.0000 1
Y1 Y 0.0000 0.5000 0.5000 1
Co1 Co 0.5000 0.5000 0.0000 1
As1 As 0.0000 0.0000 0.5000 1
```

***

No. 6
Compound: Y3BN4
Source: Alexandria via LeMat-Bulk
Functional: PBE
Structure: optimized geometry

**Theoretical density**: 4.819 g/cm3
**Final energy**: -135.7 eV/cell
**Spin magnetization**: 0.000 μB per cell

Structure (CIF):
```
data_Y3BN4
_chemical_formula_sum 'Y6 B2 N8'
_cell_length_a 7.1365
_cell_length_b 6.2478
_cell_length_c 5.1560
_cell_angle_alpha 90.00
_cell_angle_beta 90.00
_cell_angle_gamma 90.00
_space_group_name_H-M_alt 'P m n 21'
_space_group_IT_number 31
_space_group_name_Hall 'P 2ac -2'
loop_
_atom_site_label
_atom_site_type_symbol
_atom_site_fract_x
_atom_site_fract_y
_atom_site_fract_z
_atom_site_occupancy
Y1 Y 0.0000 0.1307 0.0000 1
Y2 Y 0.2449 0.3290 0.4981 1
B1 B 0.0000 0.8229 0.4582 1
N1 N 0.0000 0.0876 0.5375 1
N2 N 0.0000 0.8074 0.1582 1
N3 N 0.2025 0.6987 0.5547 1
```

***

Look up the theoretical density of the fourth one. 1.929 g/cm3

***

Which of these has the lowest final energy? Dy2Fe15Co2CN

***

Copy entry 5 word for word.
Compound: RbY2CoAs
Source: Alexandria via LeMat-Bulk
Functional: PBE
Structure: optimized geometry

**Theoretical density**: 3.538 g/cm3
**Final energy**: -23.3 eV/cell
**Spin magnetization**: 1.588 μB per cell
**Formation energy**: 0.46 eV/atom

Structure (CIF):
```
data_RbY2CoAs
_chemical_formula_sum 'Rb1 Y2 Co1 As1'
_cell_length_a 5.4312
_cell_length_b 5.4312
_cell_length_c 6.3184
_cell_angle_alpha 90.00
_cell_angle_beta 90.00
_cell_angle_gamma 90.00
_space_group_name_H-M_alt 'P 4/m m m'
_space_group_IT_number 123
_space_group_name_Hall '-P 4 2'
loop_
_atom_site_label
_atom_site_type_symbol
_atom_site_fract_x
_atom_site_fract_y
_atom_site_fract_z
_atom_site_occupancy
Rb1 Rb 0.0000 0.0000 0.0000 1
Y1 Y 0.0000 0.5000 0.5000 1
Co1 Co 0.5000 0.5000 0.0000 1
As1 As 0.0000 0.0000 0.5000 1
```

***

What is the formula in the first record? Dy2Fe15Co2CN